## Zn2Ga2Pb (PBE)

Data for Zn2Ga2Pb after structural relaxation.

Computed properties:
Energy: -2.369 eV per atom
Symmetry: No. 127
ΔE to the lowest computed polymorph: 48.0 meV/atom
Volume: 204 Å³ per cell
M_tot: 0.00 μB per formula unit
ΔH_f (0 K): 9.0 kJ/mol of atoms

Cell: 7.978 7.978 3.212 Å, 90.00 90.00 90.00°
Element x y z (fractional)
Pb (0.000, 0.000, 0.000)
Pb (0.500, 0.500, 0.000)
Zn (0.375, 0.875, 0.000)
Zn (0.875, 0.625, 0.000)
Zn (0.625, 0.125, 0.000)
Zn (0.125, 0.375, 0.000)
Ga (0.168, 0.668, 0.500)
Ga (0.668, 0.832, 0.500)
Ga (0.832, 0.332, 0.500)
Ga (0.332, 0.168, 0.500)


## BeCuN3 (PBE)

Data for BeCuN3 after structural relaxation.

Computed properties:
Energy: -4.317 eV per atom
Formation energy from raw total energies: 2.24 eV per atom
Symmetry: No. 221
Volume: 50 Å³ per cell
M_tot: 0.00 μB per formula unit

Cell: 3.686 3.686 3.686 Å, 90.00 90.00 90.00°
Element x y z (fractional)
Be (0.500, 0.500, 0.500)
Cu (0.000, 0.000, 0.000)
N (0.000, 0.500, 0.000)
N (0.000, 0.000, 0.500)
N (0.500, 0.000, 0.000)